Material: PmGaSi2
Method: DFT, GGA-PBE
State: relaxed

Geometry as CIF:
```
data_PmGaSi2
_chemical_formula_sum 'Pm1 Ga1 Si2'
_cell_length_a 4.970
_cell_length_b 4.970
_cell_length_c 6.591
_cell_angle_alpha 67.85
_cell_angle_beta 67.85
_cell_angle_gamma 60.00
_space_group_name_H-M_alt 'P 1'
_space_group_IT_number 1
_space_group_name_Hall 'P 1'
loop_
_atom_site_label
_atom_site_fract_x
_atom_site_fract_y
_atom_site_fract_z
Pm1 0.500 0.500 0.500
Ga1 0.000 0.000 0.000
Si1 0.130 0.130 0.610
Si2 0.870 0.870 0.390
```

Output
- energy above the most stable polymorph in this dataset (eV per atom) = 0.698
- crystal system = trigonal
- symmetry = No. 166
- DOS(E_F) (states/eV/cell) = 1.973
- calculated total energy (eV per atom) = -4.243
- size of the total moment (μB per atom) = 0.00

---

Material: Pm3GaSi3
Method: DFT, GGA-PBE
State: relaxed

Geometry as CIF:
```
data_Pm3GaSi3
_chemical_formula_sum 'Pm6 Ga2 Si6'
_cell_length_a 5.996
_cell_length_b 8.600
_cell_length_c 8.600
_cell_angle_alpha 120.00
_cell_angle_beta 90.00
_cell_angle_gamma 90.00
_space_group_name_H-M_alt 'P 1'
_space_group_IT_number 1
_space_group_name_Hall 'P 1'
loop_
_atom_site_label
_atom_site_fract_x
_atom_site_fract_y
_atom_site_fract_z
Ga1 0.250 0.667 0.333
Ga2 0.750 0.333 0.667
Pm1 0.250 0.064 0.695
Pm2 0.750 0.936 0.305
Pm3 0.250 0.305 0.369
Pm4 0.250 0.631 0.936
Pm5 0.750 0.695 0.631
Pm6 0.750 0.369 0.064
Si1 0.750 0.633 0.936
Si2 0.250 0.696 0.633
Si3 0.250 0.936 0.304
Si4 0.250 0.367 0.064
Si5 0.750 0.064 0.696
Si6 0.750 0.304 0.367
```

Output
- energy above the most stable polymorph in this dataset (eV per atom) = 0.279
- crystal system = hexagonal
- symmetry = No. 176
- DOS(E_F) (states/eV/cell) = 2.201
- calculated total energy (eV per atom) = -5.254
- size of the total moment (μB per atom) = 0.00

---

Material: Pm3GaSi2
Method: DFT, GGA-PBE
State: relaxed

Geometry as CIF:
```
data_Pm3GaSi2
_chemical_formula_sum 'Pm6 Ga2 Si4'
_cell_length_a 7.470
_cell_length_b 7.470
_cell_length_c 7.470
_cell_angle_alpha 64.53
_cell_angle_beta 64.53
_cell_angle_gamma 64.53
_space_group_name_H-M_alt 'P 1'
_space_group_IT_number 1
_space_group_name_Hall 'P 1'
loop_
_atom_site_label
_atom_site_fract_x
_atom_site_fract_y
_atom_site_fract_z
Si1 0.351 0.351 0.351
Si2 0.851 0.851 0.851
Si3 0.149 0.149 0.149
Si4 0.649 0.649 0.649
Pm1 0.055 0.750 0.445
Pm2 0.250 0.555 0.945
Pm3 0.945 0.250 0.555
Pm4 0.445 0.055 0.750
Pm5 0.750 0.445 0.055
Pm6 0.555 0.945 0.250
Ga1 0.500 0.500 0.500
Ga2 0.000 0.000 0.000
```

Output
- energy above the most stable polymorph in this dataset (eV per atom) = 0.158
- crystal system = trigonal
- symmetry = No. 167
- DOS(E_F) (states/eV/cell) = 13.425
- calculated total energy (eV per atom) = -5.193
- size of the total moment (μB per atom) = 0.00

---

Material: PmGa2Si2
Method: DFT, GGA-PBE
State: relaxed

Geometry as CIF:
```
data_PmGa2Si2
_chemical_formula_sum 'Pm1 Ga2 Si2'
_cell_length_a 4.086
_cell_length_b 4.086
_cell_length_c 8.330
_cell_angle_alpha 75.80
_cell_angle_beta 75.80
_cell_angle_gamma 60.00
_space_group_name_H-M_alt 'P 1'
_space_group_IT_number 1
_space_group_name_Hall 'P 1'
loop_
_atom_site_label
_atom_site_fract_x
_atom_site_fract_y
_atom_site_fract_z
Si1 0.416 0.416 0.753
Si2 0.584 0.584 0.247
Pm1 0.000 0.000 0.000
Ga1 0.770 0.770 0.690
Ga2 0.230 0.230 0.310
```

Output
- crystal system = trigonal
- symmetry = No. 166
- DOS(E_F) (states/eV/cell) = 2.109
- calculated total energy (eV per atom) = -4.487
- size of the total moment (μB per atom) = 0.00

---

Material: Pm4Ga3Si
Method: DFT, GGA-PBE
State: relaxed

Geometry as CIF:
```
data_Pm4Ga3Si
_chemical_formula_sum 'Pm4 Ga3 Si1'
_cell_length_a 4.451
_cell_length_b 4.073
_cell_length_c 11.200
_cell_angle_alpha 90.00
_cell_angle_beta 90.00
_cell_angle_gamma 90.00
_space_group_name_H-M_alt 'P 1'
_space_group_IT_number 1
_space_group_name_Hall 'P 1'
loop_
_atom_site_label
_atom_site_fract_x
_atom_site_fract_y
_atom_site_fract_z
Si1 0.500 0.500 0.072
Ga1 0.000 0.000 0.425
Ga2 0.500 0.000 0.931
Ga3 0.000 0.500 0.573
Pm1 0.500 0.000 0.641
Pm2 0.000 0.000 0.140
Pm3 0.500 0.500 0.356
Pm4 0.000 0.500 0.862
```

Output
- crystal system = orthorhombic
- symmetry = No. 25
- DOS(E_F) (states/eV/cell) = 6.967
- calculated total energy (eV per atom) = -4.845
- size of the total moment (μB per atom) = 0.07

---

Material: Pm8GaSi2
Method: DFT, GGA-PBE
State: relaxed

Geometry as CIF:
```
data_Pm8GaSi2
_chemical_formula_sum 'Pm8 Ga1 Si2'
_cell_length_a 4.919
_cell_length_b 6.937
_cell_length_c 9.831
_cell_angle_alpha 103.03
_cell_angle_beta 104.49
_cell_angle_gamma 90.00
_space_group_name_H-M_alt 'P 1'
_space_group_IT_number 1
_space_group_name_Hall 'P 1'
loop_
_atom_site_label
_atom_site_fract_x
_atom_site_fract_y
_atom_site_fract_z
Si1 0.817 0.253 0.634
Si2 0.183 0.747 0.366
Pm1 0.788 0.670 0.575
Pm2 0.975 0.226 0.950
Pm3 0.337 0.010 0.674
Pm4 0.594 0.476 0.188
Pm5 0.406 0.524 0.812
Pm6 0.663 0.990 0.326
Pm7 0.212 0.330 0.425
Pm8 0.025 0.774 0.050
Ga1 0.500 0.000 0.000
```

Output
- crystal system = monoclinic
- symmetry = No. 12
- DOS(E_F) (states/eV/cell) = 11.081
- calculated total energy (eV per atom) = -5.040
- size of the total moment (μB per atom) = 0.00

---

Material: Pm3Ga2Si3
Method: DFT, GGA-PBE
State: relaxed

Geometry as CIF:
```
data_Pm3Ga2Si3
_chemical_formula_sum 'Pm6 Ga4 Si6'
_cell_length_a 4.207
_cell_length_b 5.914
_cell_length_c 14.750
_cell_angle_alpha 90.00
_cell_angle_beta 90.00
_cell_angle_gamma 110.83
_space_group_name_H-M_alt 'P 1'
_space_group_IT_number 1
_space_group_name_Hall 'P 1'
loop_
_atom_site_label
_atom_site_fract_x
_atom_site_fract_y
_atom_site_fract_z
Pm1 0.935 0.870 0.386
Pm2 0.935 0.870 0.114
Pm3 0.647 0.295 0.250
Pm4 0.353 0.705 0.750
Pm5 0.065 0.130 0.614
Pm6 0.065 0.130 0.886
Si1 0.636 0.272 0.750
Si2 0.364 0.728 0.250
Si3 0.613 0.226 0.462
Si4 0.613 0.226 0.038
Si5 0.387 0.774 0.962
Si6 0.387 0.774 0.538
Ga1 0.222 0.443 0.102
Ga2 0.778 0.557 0.602
Ga3 0.778 0.557 0.898
Ga4 0.222 0.443 0.398
```

Output
- energy above the most stable polymorph in this dataset (eV per atom) = 0.052
- crystal system = orthorhombic
- symmetry = No. 63
- DOS(E_F) (states/eV/cell) = 11.552
- calculated total energy (eV per atom) = -5.173
- size of the total moment (μB per atom) = 0.00

---

Material: Pm3Ga3Si2
Method: DFT, GGA-PBE
State: relaxed

Geometry as CIF:
```
data_Pm3Ga3Si2
_chemical_formula_sum 'Pm6 Ga6 Si4'
_cell_length_a 4.095
_cell_length_b 5.962
_cell_length_c 15.650
_cell_angle_alpha 90.00
_cell_angle_beta 90.00
_cell_angle_gamma 110.09
_space_group_name_H-M_alt 'P 1'
_space_group_IT_number 1
_space_group_name_Hall 'P 1'
loop_
_atom_site_label
_atom_site_fract_x
_atom_site_fract_y
_atom_site_fract_z
Ga1 0.705 0.410 0.750
Ga2 0.429 0.858 0.558
Ga3 0.571 0.142 0.442
Ga4 0.429 0.858 0.942
Ga5 0.295 0.590 0.250
Ga6 0.571 0.142 0.058
Si1 0.148 0.296 0.121
Si2 0.852 0.704 0.621
Si3 0.148 0.296 0.379
Si4 0.852 0.704 0.879
Pm1 0.853 0.705 0.091
Pm2 0.437 0.874 0.750
Pm3 0.147 0.295 0.591
Pm4 0.853 0.705 0.409
Pm5 0.147 0.295 0.909
Pm6 0.563 0.126 0.250
```

Output
- energy above the most stable polymorph in this dataset (eV per atom) = 0.000
- crystal system = orthorhombic
- symmetry = No. 63
- DOS(E_F) (states/eV/cell) = 6.130
- calculated total energy (eV per atom) = -4.953
- size of the total moment (μB per atom) = 0.00